1) This record from the Alexandria database describes V6ReW after structural relaxation. The functional is GGA-PBE.

The structure in POSCAR format:
```
V6ReW
1.0
-1.710 -3.075 2.449
4.217 -3.007 -0.831
0.797 2.952 4.263
V Re W
6 1 1
direct
0.000 0.122 0.372
0.000 0.628 0.878
0.000 0.628 0.372
0.500 0.375 0.125
0.500 0.875 0.625
0.500 0.871 0.129
0.000 0.123 0.877
0.500 0.378 0.622
```

Properties
DOS(E_F), states/eV/f.u.: 10.49
Space group: No. 38

2) This record from the Alexandria database describes V6ReW after structural relaxation. The functional is GGA-PBE.

The structure in POSCAR format:
```
V6ReW
1.0
6.846 0.005 0.036
3.414 5.933 -0.009
3.407 1.992 2.805
V Re W
6 1 1
direct
0.000 0.500 0.748
0.752 0.000 0.748
0.500 0.248 0.252
0.248 0.000 0.252
0.000 0.500 0.252
0.500 0.752 0.748
0.000 0.000 0.000
0.500 0.500 0.500
```

Properties
DOS(E_F), states/eV/f.u.: 10.56
Space group: No. 200

Which of them is the most stable? Correct choice: 1).

1) This record from the Alexandria database describes Y2VRe after structural relaxation. The functional is GGA-PBE.

The structure in POSCAR format:
```
Y2VRe
1.0
7.835 0.000 0.000
0.000 7.835 0.000
3.918 3.918 2.956
Y Re V
4 2 2
direct
0.634 0.125 0.250
0.116 0.625 0.250
0.375 0.366 0.750
0.875 0.884 0.750
0.000 0.000 0.000
0.750 0.250 0.500
0.500 0.500 0.000
0.250 0.750 0.500
```

Properties
DOS(E_F), states/eV/f.u.: 5.31
Space group: No. 122

2) This record from the Alexandria database describes Y2VRe after structural relaxation. The functional is GGA-PBE.

The structure in POSCAR format:
```
Y2VRe
1.0
2.157 -4.272 1.302
-1.433 -2.344 4.130
-2.532 -4.253 -0.314
Y Re V
2 1 1
direct
0.250 0.250 0.250
0.750 0.750 0.750
0.500 0.500 0.500
0.000 0.000 0.000
```

Properties
DOS(E_F), states/eV/f.u.: 6.29
Space group: No. 225

Which of them is the most stable? Correct choice: 2).

1) This record from the Alexandria database describes YV2Re2 after structural relaxation. The functional is GGA-PBE.

The structure in POSCAR format:
```
YV2Re2
1.0
4.243 0.000 0.000
0.000 4.243 0.000
2.121 2.121 5.098
Y Re V
1 2 2
direct
0.000 0.000 0.000
0.750 0.250 0.500
0.250 0.750 0.500
0.376 0.376 0.249
0.624 0.624 0.751
```

Properties
DOS(E_F), states/eV/f.u.: 4.72
Space group: No. 139

2) This record from the Alexandria database describes YV2Re2 after structural relaxation. The functional is GGA-PBE.

The structure in POSCAR format:
```
YV2Re2
1.0
7.687 0.000 0.000
0.000 7.687 0.000
0.000 0.000 2.846
Y Re V
2 4 4
direct
0.000 0.000 0.000
0.500 0.500 0.000
0.148 0.648 0.500
0.648 0.852 0.500
0.852 0.352 0.500
0.352 0.148 0.500
0.360 0.860 0.000
0.860 0.640 0.000
0.640 0.140 0.000
0.140 0.360 0.000
```

Properties
DOS(E_F), states/eV/f.u.: 7.09
Space group: No. 127

Which of them is the most stable? Correct choice: 1).

1) This record from the Alexandria database describes YVRe3 after structural relaxation. The functional is GGA-PBE.

The structure in POSCAR format:
```
YVRe3
1.0
4.587 0.000 0.000
0.000 4.587 0.000
0.000 0.000 4.587
Y Re V
1 3 1
direct
0.500 0.500 0.500
0.000 0.500 0.000
0.000 0.000 0.500
0.500 0.000 0.000
0.000 0.000 0.000
```

Properties
DOS(E_F), states/eV/f.u.: 6.57
Space group: No. 221

2) This record from the Alexandria database describes YVRe3 after structural relaxation. The functional is GGA-PBE.

The structure in POSCAR format:
```
YVRe3
1.0
-3.186 -0.049 3.551
-3.355 -1.521 -3.031
1.163 -4.522 0.981
Y Re V
1 3 1
direct
0.000 0.000 0.000
0.000 0.500 0.000
0.000 0.000 0.500
0.500 0.000 0.000
0.500 0.500 0.500
```

Properties
DOS(E_F), states/eV/f.u.: 9.78
Space group: No. 221

Which of them is the most stable? Correct choice: 1).

1) This record from the Alexandria database describes YV2Re after structural relaxation. The functional is GGA-PBE.

The structure in POSCAR format:
```
YV2Re
1.0
7.296 0.000 0.000
0.000 7.296 0.000
3.648 3.648 2.885
Y Re V
2 2 4
direct
0.500 0.500 0.000
0.250 0.750 0.500
0.000 0.000 0.000
0.750 0.250 0.500
0.681 0.125 0.250
0.069 0.625 0.250
0.375 0.319 0.750
0.875 0.931 0.750
```

Properties
DOS(E_F), states/eV/f.u.: 4.04
Space group: No. 122

2) This record from the Alexandria database describes YV2Re after structural relaxation. The functional is GGA-PBE.

The structure in POSCAR format:
```
YV2Re
1.0
0.000 3.212 3.212
3.212 0.000 3.212
3.212 3.212 0.000
Y Re V
1 1 2
direct
0.000 0.000 0.000
0.500 0.500 0.500
0.250 0.250 0.250
0.750 0.750 0.750
```

Properties
DOS(E_F), states/eV/f.u.: 6.06
Space group: No. 225

Which of them is the most stable? Correct choice: 2).

1) This record from the Alexandria database describes VZnRe3 after structural relaxation. The functional is GGA-PBE.

The structure in POSCAR format:
```
VZnRe3
1.0
-3.615 2.513 -0.917
-2.600 -3.664 0.206
-0.632 0.696 4.398
Re Zn V
3 1 1
direct
0.000 0.500 0.000
0.000 0.000 0.500
0.500 0.000 0.000
0.500 0.500 0.500
0.000 0.000 0.000
```

Properties
DOS(E_F), states/eV/f.u.: 6.31
Space group: No. 221

2) This record from the Alexandria database describes VZnRe3 after structural relaxation. The functional is GGA-PBE.

The structure in POSCAR format:
```
VZnRe3
1.0
-1.782 4.066 -0.032
-3.627 -1.573 2.020
1.839 0.837 3.953
Re Zn V
3 1 1
direct
0.000 0.500 0.000
0.000 0.000 0.500
0.500 0.000 0.000
0.000 0.000 0.000
0.500 0.500 0.500
```

Properties
DOS(E_F), states/eV/f.u.: 7.15
Space group: No. 221

Which of them is the most stable? Correct choice: 1).